# 1
First-principles (GGA-PBE) data for crystalline CeTh2Hg5 at its relaxed geometry, as listed in the Alexandria database.

Lattice parameters (Å, degrees): 5.235 5.235 15.616 90.00 90.00 90.00
Space group I4/mmm (No. 139)
One atom of each set of equivalent atoms:
Ce: 0.000 0.000 0.000 [2 per cell]
Th: 0.000 0.000 0.264 [4 per cell]
Hg: 0.000 0.000 0.500 [2 per cell]
Hg: 0.000 0.500 0.119 [8 per cell]

Results
The calculation puts the spin magnetization at 1.1 μB per formula unit. The formation energy comes out at -0.244 eV/atom.

---

# 2
First-principles (GGA-PBE) data for crystalline Ce12Th3Hg at its relaxed geometry, as listed in the Alexandria database.

Lattice parameters (Å, degrees): 4.793 4.793 19.320 90.00 90.00 90.00
Space group P4/mmm (No. 123)
One atom of each set of equivalent atoms:
Ce: 0.000 0.000 0.000 [1 per cell]
Ce: 0.000 0.000 0.248 [2 per cell]
Ce: 0.000 0.000 0.500 [1 per cell]
Ce: 0.000 0.500 0.125 [4 per cell]
Ce: 0.000 0.500 0.376 [4 per cell]
Th: 0.500 0.500 0.000 [1 per cell]
Th: 0.500 0.500 0.251 [2 per cell]
Hg: 0.500 0.500 0.500 [1 per cell]

Results
The calculation puts the spin magnetization at 3.9 μB per formula unit. The formation energy comes out at -0.011 eV/atom.